TaMnSi2: optimized geometry, GGA-PBE. Values from VASP.

Quantum ESPRESSO input file:
```
&SYSTEM
  ibrav = 0, nat = 8, ntyp = 3
/
ATOMIC_SPECIES
Ta 180.95 Ta.upf
Mn 54.94 Mn.upf
Si 28.09 Si.upf
CELL_PARAMETERS angstrom
-1.861 1.861 8.817
1.861 -1.861 8.817
1.861 1.861 -8.817
ATOMIC_POSITIONS angstrom
Ta 0.000 0.000 0.000
Ta 0.000 1.861 4.408
Mn 1.861 0.000 4.408
Mn 0.000 0.000 8.817
Si 0.931 -0.809 6.613
Si 1.052 0.931 2.204
Si 0.931 2.670 -2.204
Si 0.809 0.931 11.021
```

Output
Formation energy (no corrections)   173 meV/atom
Electronic total energy   -7.794 eV per atom
Symmetry   I-42d, No. 122
Total moment   1.3 μB/f.u.
DOS(E_F)   3.8 states/eV/f.u.